This record from the Alexandria database describes an optimized crystal structure of U2Mn3Si5. The functional is PBE-GGA.

CIF file:
```
data_U2Mn3Si5
_chemical_formula_sum 'U8 Mn12 Si20'
_space_group_name_H-M_alt 'I b a m'
_space_group_IT_number 72
_space_group_name_Hall '-I 2 2c'
_cell_length_a 9.4624
_cell_length_b 11.8277
_cell_length_c 5.3427
_cell_angle_alpha 90.00
_cell_angle_beta 90.00
_cell_angle_gamma 90.00
loop_
_atom_site_label
_atom_site_type_symbol
_atom_site_fract_x
_atom_site_fract_y
_atom_site_fract_z
_atom_site_occupancy
U1 U 0.2260 0.1413 0.0000 1
Mn1 Mn 0.0000 0.5000 0.2500 1
Mn2 Mn 0.0947 0.1486 0.5000 1
Si1 Si 0.0000 0.0000 0.2500 1
Si2 Si 0.0000 0.2944 0.2500 1
Si3 Si 0.1714 0.4073 0.0000 1
```

Computed properties:
E_form (uncorrected)	-43.5	kJ/mol of atoms
DOS at the Fermi energy	11.132	states/eV/f.u.